[1]
This record from the Alexandria database describes a relaxed Rb4Tm3NpS8 crystal. The functional is GGA-PBE.

Cell: 8.992 8.992 8.992 Å, 53.70 53.70 53.70°
Sites, in units of the cell vectors:
Rb 0.000 0.000 0.000
Rb 0.000 0.500 0.500
Rb 0.500 0.000 0.500
Rb 0.500 0.500 0.000
Tm 0.000 0.000 0.500
Tm 0.000 0.500 0.000
Tm 0.500 0.000 0.000
Np 0.500 0.500 0.500
S 0.224 0.733 0.733
S 0.230 0.230 0.230
S 0.267 0.267 0.776
S 0.267 0.776 0.267
S 0.733 0.224 0.733
S 0.733 0.733 0.224
S 0.770 0.770 0.770
S 0.776 0.267 0.267

Calculated values
Calculated density   5.085 g/cm3
Total energy   -5.668 eV/atom
Formation energy without anion corrections   -1716 meV/atom
Symmetry   R-3m (166)



[2]
This record from the Alexandria database describes a relaxed Zn2SeBr crystal. The functional is GGA-PBE.

Cell: 3.453 3.453 6.976 Å, 90.00 90.00 90.00°
Sites, in units of the cell vectors:
Zn 0.000 0.000 0.205
Zn 0.000 0.000 0.795
Se 0.500 0.500 0.000
Br 0.500 0.500 0.500

Calculated values
Calculated density   5.784 g/cm3
Total energy   -1.935 eV/atom
Formation energy without anion corrections   -8 meV/atom
Symmetry   P4/mmm (123)



[3]
This record from the Alexandria database describes a relaxed LiHgTe crystal. The functional is GGA-PBE.

Cell: 7.053 7.053 7.053 Å, 152.24 152.24 39.67°
Sites, in units of the cell vectors:
Li 0.000 0.000 0.000
Hg 0.336 0.336 0.000
Te 0.631 0.631 0.000

Calculated values
Calculated density   7.325 g/cm3
Total energy   -2.122 eV/atom
Formation energy without anion corrections   -336 meV/atom
Symmetry   I4mm (107)